1.
{"formula": "CoTe2", "functional": "PBE", "state": "optimized geometry", "e_form_raw_mev_per_atom": -3, "space_group": "No. 8", "crystal_system": "monoclinic", "total_magnetization_mub_per_cell": 0.00, "lattice_angstrom": [[-1.109, -3.776, -6.178], [2.444, -3.785, -5.775], [-0.103, -7.024, 0.735]], "species": ["Co", "Co", "Te", "Te", "Te", "Te"], "frac_coords": [[0.018, 0.018, 0.996], [0.409, 0.409, 0.339], [0.604, 0.604, 0.706], [0.596, 0.596, 0.159], [0.834, 0.834, 0.595], [0.373, 0.373, 0.038]]}



2.
{"formula": "CoTe3", "functional": "PBE", "state": "optimized geometry", "e_form_raw_mev_per_atom": -8, "space_group": "No. 65", "crystal_system": "orthorhombic", "total_magnetization_mub_per_cell": 0.00, "lattice_angstrom": [[3.765, 0.000, 0.000], [0.000, 5.463, 0.037], [0.000, 2.748, 4.723]], "species": ["Co", "Te", "Te", "Te"], "frac_coords": [[0.000, 0.000, 0.000], [0.500, 0.822, 0.822], [0.000, 0.500, 0.500], [0.500, 0.178, 0.178]]}



3.
{"formula": "CoTe2", "functional": "PBE", "state": "optimized geometry", "e_form_raw_mev_per_atom": 444, "space_group": "No. 194", "crystal_system": "hexagonal", "total_magnetization_mub_per_cell": 2.38, "lattice_angstrom": [[2.533, 3.410, -0.787], [-2.553, -1.559, -3.117], [-6.412, 5.358, 2.573]], "species": ["Co", "Co", "Te", "Te", "Te", "Te"], "frac_coords": [[0.333, 0.667, 0.250], [0.667, 0.333, 0.750], [0.000, 0.000, 0.000], [0.000, 0.000, 0.500], [0.333, 0.667, 0.750], [0.667, 0.333, 0.250]]}



What did the second record say?
{"formula": "CoTe3", "functional": "PBE", "state": "optimized geometry", "e_form_raw_mev_per_atom": -8, "space_group": "No. 65", "crystal_system": "orthorhombic", "total_magnetization_mub_per_cell": 0.00, "lattice_angstrom": [[3.765, 0.000, 0.000], [0.000, 5.463, 0.037], [0.000, 2.748, 4.723]], "species": ["Co", "Te", "Te", "Te"], "frac_coords": [[0.000, 0.000, 0.000], [0.500, 0.822, 0.822], [0.000, 0.500, 0.500], [0.500, 0.178, 0.178]]}